Record 1
{"formula": "BaAl3Mo", "functional": "GGA-PBE", "state": "relaxed", "e_tot_ev_per_atom": -4.873, "ef_ev_per_atom": -0.08, "lattice_angstrom": [[5.0106, 0.0000, 0.0000], [0.0000, 5.0106, 0.0000], [0.0000, 0.0000, 5.0106]], "species": ["Al", "Al", "Al", "Mo", "Ba"], "fractional_positions": [[0.5000, 0.0000, 0.0000], [0.0000, 0.0000, 0.5000], [0.0000, 0.5000, 0.0000], [0.0000, 0.0000, 0.0000], [0.5000, 0.5000, 0.5000]]}

---

Record 2
{"formula": "CsTa3Se", "functional": "GGA-PBE", "state": "relaxed", "e_tot_ev_per_atom": -6.421, "polymorph_energy_ev_per_atom": 0.000, "raw_formation_energy_mev_per_atom": 1558, "lattice_angstrom": [[4.9641, 0.0000, 0.0000], [0.0000, 4.9641, 0.0000], [0.0000, 0.0000, 4.9641]], "species": ["Ta", "Ta", "Ta", "Se", "Cs"], "fractional_positions": [[0.0000, 0.0000, 0.5000], [0.5000, 0.0000, 0.0000], [0.0000, 0.5000, 0.0000], [0.0000, 0.0000, 0.0000], [0.5000, 0.5000, 0.5000]]}

---

Record 3
{"formula": "GeBO2F", "functional": "GGA-PBE", "state": "relaxed", "e_tot_ev_per_atom": -5.524, "raw_formation_energy_mev_per_atom": -908, "lattice_angstrom": [[-1.1107, 2.4480, 2.1088], [1.6987, -1.4545, 2.5831], [2.9629, 2.0356, -0.8024]], "species": ["Ge", "O", "O", "F", "B"], "fractional_positions": [[0.5000, 0.5000, 0.5000], [0.0000, 0.5000, 0.0000], [0.5000, 0.0000, 0.0000], [0.0000, 0.0000, 0.5000], [0.0000, 0.0000, 0.0000]]}

---

Record 4
{"formula": "Y2TaTe", "functional": "GGA-PBE", "state": "relaxed", "e_tot_ev_per_atom": -6.931, "raw_formation_energy_mev_per_atom": 49, "lattice_angstrom": [[5.7292, -0.0120, -0.0942], [2.0343, 5.3559, 0.0942], [-3.5837, -3.1048, 3.2170]], "species": ["Te", "Ta", "Y", "Y"], "fractional_positions": [[0.2500, 0.7500, 0.5000], [0.7500, 0.2500, 0.5000], [0.9977, 0.9977, 0.0000], [0.5023, 0.5023, 0.0000]]}

---

Record 5
{"formula": "MgTiW2", "functional": "GGA-PBE", "state": "relaxed", "e_tot_ev_per_atom": -8.046, "ef_ev_per_atom": 0.80, "lattice_angstrom": [[-1.5747, -2.5274, 2.4137], [2.8773, -2.4402, -0.6780], [5.7079, 1.4250, 8.2597]], "species": ["W", "W", "W", "W", "Mg", "Mg", "Ti", "Ti"], "fractional_positions": [[0.3750, 0.3632, 0.7500], [0.8750, 0.8868, 0.7500], [0.1132, 0.6250, 0.2500], [0.6368, 0.1250, 0.2500], [0.2500, 0.7500, 0.5000], [0.5000, 0.5000, 0.0000], [0.7500, 0.2500, 0.5000], [0.0000, 0.0000, 0.0000]]}